(1)
Crystalline In2TcRh at its relaxed geometry, computed with PBE.

```
In2TcRh
1.0
1.510 0.872 9.257
-1.510 0.872 9.257
0.000 -1.743 9.257
In Tc Rh
2 1 1
Direct
0.000 0.000 0.000 In
0.235 0.235 0.235 In
0.485 0.485 0.485 Tc
0.747 0.747 0.747 Rh
```

Calculated values
polymorph energy (0 for the lowest one)	206	meV/atom
energy relative to the elements	0.19	eV per atom
DOS at the Fermi energy	1.140	states/eV per atom
total DFT energy (no corrections)	-5.606	eV per atom



(2)
Crystalline K5HfSe5 at its relaxed geometry, computed with PBE.

```
K5HfSe5
1.0
7.514 -3.063 0.000
7.514 3.063 0.000
-2.911 0.000 8.387
K Hf Se
5 1 5
Direct
0.000 0.000 0.000 K
0.303 0.303 0.190 K
0.325 0.325 0.649 K
0.675 0.675 0.351 K
0.697 0.697 0.810 K
0.000 0.000 0.500 Hf
0.128 0.128 0.356 Se
0.137 0.137 0.784 Se
0.500 0.500 0.500 Se
0.863 0.863 0.216 Se
0.872 0.872 0.644 Se
```

Calculated values
formation energy without anion corrections	-103.3	kJ per mole of atoms
DOS at the Fermi energy	1.112	states/eV per atom
total DFT energy (no corrections)	-4.059	eV per atom



(3)
Crystalline Th3Bi3C at its relaxed geometry, computed with PBE.

```
Th3Bi3C
1.0
4.311 -6.228 0.000
4.311 6.228 0.000
-1.895 0.000 8.024
Th Bi C
6 6 2
Direct
0.121 0.434 0.778 Th
0.125 0.125 0.353 Th
0.434 0.121 0.778 Th
0.566 0.879 0.222 Th
0.875 0.875 0.647 Th
0.879 0.566 0.222 Th
0.156 0.844 0.000 Bi
0.292 0.708 0.500 Bi
0.404 0.404 0.126 Bi
0.596 0.596 0.874 Bi
0.708 0.292 0.500 Bi
0.844 0.156 0.000 Bi
0.148 0.148 0.648 C
0.852 0.852 0.352 C
```

Calculated values
energy relative to the elements	-0.49	eV per atom
DOS at the Fermi energy	0.098	states/eV per atom
total DFT energy (no corrections)	-6.647	eV per atom



(4)
Crystalline ZrAg2PO6 at its relaxed geometry, computed with PBE.

```
ZrAg2PO6
1.0
6.144 0.000 0.000
-3.072 5.321 0.000
0.000 0.000 5.355
Zr Ag P O
1 2 1 6
Direct
0.000 0.000 0.000 Zr
0.333 0.667 0.374 Ag
0.667 0.333 0.626 Ag
0.000 0.000 0.500 P
0.130 0.259 0.303 O
0.130 0.870 0.303 O
0.259 0.130 0.697 O
0.741 0.870 0.303 O
0.870 0.130 0.697 O
0.870 0.741 0.697 O
```

Calculated values
formation energy without anion corrections	-133.6	kJ per mole of atoms
DOS at the Fermi energy	0.681	states/eV per atom
total DFT energy (no corrections)	-6.326	eV per atom